1.
# BaLiPaS4

BaLiPaS4 after structural relaxation (GGA-PBE, the Alexandria database).

a b c (Å): 6.489 6.468 8.620
angles (deg): 90.00 109.92 90.00
Positions (direct):
S1 0.971 0.011 0.295
S2 0.474 0.750 0.584
S3 0.561 0.250 0.847
S4 0.971 0.489 0.295
S5 0.029 0.511 0.705
S6 0.029 0.989 0.705
S7 0.439 0.750 0.153
S8 0.526 0.250 0.416
Li1 0.230 0.750 0.323
Li2 0.770 0.250 0.677
Pa1 0.227 0.250 0.555
Pa2 0.773 0.750 0.445
Ba1 0.742 0.750 0.943
Ba2 0.258 0.250 0.057

Output
- space-group type = P2_1/m
- total magnetization (μB per formula unit) = 0.00
- formation energy (no corrections) (eV per atom) = -1.63

2.
# Ba2Li2PaS6

Ba2Li2PaS6 after structural relaxation (GGA-PBE, the Alexandria database).

a b c (Å): 7.414 7.414 7.655
angles (deg): 61.04 61.04 60.00
Positions (direct):
Pa1 0.000 0.000 0.000
S1 0.245 0.245 0.739
S2 0.755 0.229 0.261
S3 0.245 0.771 0.739
S4 0.755 0.755 0.261
S5 0.229 0.755 0.261
S6 0.771 0.245 0.739
Ba1 0.220 0.220 0.340
Ba2 0.780 0.780 0.660
Li1 0.429 0.429 0.714
Li2 0.571 0.571 0.286

Output
- space-group type = R-3m
- total magnetization (μB per formula unit) = 0.00
- formation energy (no corrections) (eV per atom) = -1.47

3.
# BaLi2PaS4

BaLi2PaS4 after structural relaxation (GGA-PBE, the Alexandria database).

a b c (Å): 6.950 6.429 6.429
angles (deg): 65.44 57.26 57.26
Positions (direct):
Li1 0.250 0.250 0.250
Li2 0.750 0.750 0.750
S1 0.534 0.467 0.900
S2 0.466 0.100 0.533
S3 0.901 0.533 0.100
S4 0.099 0.900 0.467
Pa1 0.500 0.500 0.500
Ba1 0.000 0.000 0.000

Output
- space-group type = I-42m
- total magnetization (μB per formula unit) = 1.00
- formation energy (no corrections) (eV per atom) = -1.50

4.
# Ba2LiPaSe5

Ba2LiPaSe5 after structural relaxation (GGA-PBE, the Alexandria database).

a b c (Å): 4.386 9.615 13.408
angles (deg): 90.00 90.00 103.18
Positions (direct):
Ba1 0.880 0.760 0.812
Ba2 0.102 0.204 0.685
Ba3 0.120 0.240 0.312
Ba4 0.898 0.796 0.185
Se1 0.934 0.868 0.547
Se2 0.354 0.707 0.003
Se3 0.646 0.293 0.503
Se4 0.283 0.566 0.654
Se5 0.066 0.132 0.047
Se6 0.698 0.395 0.880
Se7 0.500 0.000 0.779
Se8 0.500 0.000 0.279
Se9 0.717 0.434 0.154
Se10 0.302 0.605 0.380
Pa1 0.792 0.585 0.517
Pa2 0.208 0.415 0.017
Li1 0.560 0.120 0.946
Li2 0.440 0.880 0.446

Output
- space-group type = Cmc2_1
- total magnetization (μB per formula unit) = 0.00
- formation energy (no corrections) (eV per atom) = -1.66